# 1
## Ca2AlIr (PBEsol)

Data for a relaxed structure of Ca2AlIr.

CIF file:
```
data_Ca2AlIr
_chemical_formula_sum 'Ca6 Al3 Ir3'
_cell_length_a 4.2222
_cell_length_b 4.2222
_cell_length_c 21.5063
_cell_angle_alpha 90.00
_cell_angle_beta 90.00
_cell_angle_gamma 120.00
_space_group_name_H-M_alt 'R 3 m'
_space_group_IT_number 160
_space_group_name_Hall 'R 3 -2"'
loop_
_atom_site_label
_atom_site_fract_x
_atom_site_fract_y
_atom_site_fract_z
Ca1 0.0000 0.0000 0.0000
Ca2 0.0000 0.0000 0.1764
Al1 0.0000 0.0000 0.4213
Ir1 0.0000 0.0000 0.7553
```

Values from the calculation:
DFT formation energy (eV per atom): -0.43
VASP energy (eV/atom): -4.98


# 2
## Ca2AlIr (PBEsol)

Data for a relaxed structure of Ca2AlIr.

CIF file:
```
data_Ca2AlIr
_chemical_formula_sum 'Ca2 Al1 Ir1'
_cell_length_a 3.2576
_cell_length_b 3.2576
_cell_length_c 8.6253
_cell_angle_alpha 90.00
_cell_angle_beta 90.00
_cell_angle_gamma 90.00
_space_group_name_H-M_alt 'P 4 m m'
_space_group_IT_number 99
loop_
_space_group_symop_operation_xyz
'x,y,z'
'-y,x,z'
'-x,-y,z'
'y,-x,z'
'-x,y,z'
'y,x,z'
'x,-y,z'
'-y,-x,z'
loop_
_atom_site_label
_atom_site_fract_x
_atom_site_fract_y
_atom_site_fract_z
Ca1 0.0000 0.0000 0.0000
Ca2 0.5000 0.5000 0.3873
Al1 0.5000 0.5000 0.7431
Ir1 0.0000 0.0000 0.6118
```

Values from the calculation:
DFT formation energy (eV per atom): -0.34
VASP energy (eV/atom): -4.89


# 3
## Ca2MgAlIr (PBEsol)

Data for a relaxed structure of Ca2MgAlIr.

CIF file:
```
data_Ca2MgAlIr
_chemical_formula_sum 'Ca2 Mg1 Al1 Ir1'
_cell_length_a 5.4372
_cell_length_b 5.4372
_cell_length_c 4.7656
_cell_angle_alpha 90.00
_cell_angle_beta 90.00
_cell_angle_gamma 90.00
_space_group_name_H-M_alt 'P 4/m m m'
_space_group_IT_number 123
_space_group_name_Hall '-P 4 2'
loop_
_atom_site_label
_atom_site_fract_x
_atom_site_fract_y
_atom_site_fract_z
Ca1 0.0000 0.5000 0.0000
Mg1 0.0000 0.0000 0.5000
Al1 0.5000 0.5000 0.5000
Ir1 0.5000 0.5000 0.0000
```

Values from the calculation:
DFT formation energy (eV per atom): -0.14
VASP energy (eV/atom): -4.12


# 4
## KCaAl (PBEsol)

Data for a relaxed structure of KCaAl.

CIF file:
```
data_KCaAl
_chemical_formula_sum 'K4 Ca4 Al4'
_cell_length_a 7.7333
_cell_length_b 7.7333
_cell_length_c 7.7333
_cell_angle_alpha 90.00
_cell_angle_beta 90.00
_cell_angle_gamma 90.00
_space_group_name_H-M_alt 'F -4 3 m'
_space_group_IT_number 216
_space_group_name_Hall 'F -4 2 3'
loop_
_atom_site_label
_atom_site_fract_x
_atom_site_fract_y
_atom_site_fract_z
K1 0.0000 0.0000 0.0000
Ca1 0.2500 0.2500 0.7500
Al1 0.0000 0.0000 0.5000
```

Values from the calculation:
DFT formation energy (eV per atom): 0.58
VASP energy (eV/atom): -1.87


# 5
## KCa3Mg3AlSi8O24 (PBEsol)

Data for a relaxed structure of KCa3Mg3AlSi8O24.

CIF file:
```
data_KCa3Mg3AlSi8O24
_chemical_formula_sum 'K1 Ca3 Mg3 Al1 Si8 O24'
_cell_length_a 5.2801
_cell_length_b 8.9084
_cell_length_c 9.6650
_cell_angle_alpha 90.00
_cell_angle_beta 105.43
_cell_angle_gamma 90.00
_space_group_name_H-M_alt 'P 1 2 1'
_space_group_IT_number 3
loop_
_space_group_symop_operation_xyz
'x,y,z'
'-x,y,-z'
loop_
_atom_site_label
_atom_site_fract_x
_atom_site_fract_y
_atom_site_fract_z
K1 0.0000 0.0000 0.0000
Ca1 0.0000 0.8909 0.5000
Ca2 0.5000 0.3892 0.0000
Ca3 0.5000 0.4919 0.5000
Mg1 0.0000 0.2818 0.5000
Mg2 0.0000 0.6010 0.0000
Mg3 0.5000 0.0998 0.5000
Al1 0.5000 0.7882 0.0000
Si1 0.1850 0.2848 0.2134
Si2 0.1928 0.6028 0.7141
Si3 0.3153 0.7865 0.2836
Si4 0.3172 0.0952 0.7877
O1 0.1085 0.6751 0.3458
O2 0.1151 0.2109 0.8463
O3 0.1966 0.4434 0.1364
O4 0.2093 0.4431 0.6417
O5 0.2245 0.0988 0.6141
O6 0.2506 0.7660 0.1109
O7 0.2761 0.2813 0.3869
O8 0.2864 0.9447 0.3557
O9 0.2893 0.6182 0.8882
O10 0.3283 0.9324 0.8619
O11 0.3864 0.7131 0.6423
O12 0.3958 0.1817 0.1499
```

Values from the calculation:
VASP energy (eV/atom): -7.63
Uncorrected formation energy (meV per atom): -2910


# 6
## CaLaAl2 (PBEsol)

Data for a relaxed structure of CaLaAl2.

CIF file:
```
data_CaLaAl2
_chemical_formula_sum 'Ca4 La4 Al8'
_cell_length_a 7.2880
_cell_length_b 7.2880
_cell_length_c 7.2880
_cell_angle_alpha 90.00
_cell_angle_beta 90.00
_cell_angle_gamma 90.00
_space_group_name_H-M_alt 'F -4 3 m'
_space_group_IT_number 216
_space_group_name_Hall 'F -4 2 3'
loop_
_atom_site_label
_atom_site_fract_x
_atom_site_fract_y
_atom_site_fract_z
Ca1 0.0000 0.0000 0.0000
La1 0.2500 0.2500 0.7500
Al1 0.0000 0.0000 0.5000
Al2 0.2500 0.2500 0.2500
```

Values from the calculation:
DFT formation energy (eV per atom): 0.04
VASP energy (eV/atom): -3.87


Question: What is the formula in the second record?
Answer: Ca2AlIr